No. 1
This record from the Alexandria database describes crystalline BaLa3Ir at its relaxed geometry. The functional is GGA-PBE.

a = 9.8415 Å, b = 9.8415 Å, c = 9.8415 Å
α = 139.38°, β = 59.83°, γ = 138.03°
Last column: nearest neighbours and their distance in Å.
Fractional positions:
Ba  0.0000  0.0000  0.0000  8 La 3.89-4.30
Ba  0.5000  0.0000  0.5000  8 La 3.89-4.30
La  0.1777  0.9277  0.2500  2 Ir 2.84
La  0.2002  0.5614  0.6388  2 Ir 2.88
La  0.4226  0.5614  0.8612  2 Ir 2.88
La  0.5774  0.4386  0.1388  2 Ir 2.88
La  0.7998  0.4386  0.3612  2 Ir 2.88
La  0.8223  0.0723  0.7500  2 Ir 2.84
Ir  0.5000  0.0000  0.0000  6 La 2.84-2.88
Ir  0.5000  0.5000  0.5000  6 La 2.84-2.88

Raw total energy   -53.74 eV for the cell shown
E_form   -1.302 eV/f.u.
V   410.8 Å³/cell
Crystal system   orthorhombic
Symmetry   Imma, No. 74



No. 2
This record from the Alexandria database describes crystalline TbZn2CdAg5 at its relaxed geometry. The functional is GGA-PBE.

a = 4.8566 Å, b = 4.8566 Å, c = 7.8165 Å
α = 90.00°, β = 90.00°, γ = 90.00°
Last column: nearest neighbours and their distance in Å.
Fractional positions:
Tb  0.0000  0.0000  0.0000  8 Ag 3.06
Zn  0.5000  0.5000  0.3474  1 Zn 2.39, 4 Ag 2.57
Zn  0.5000  0.5000  0.6526  1 Zn 2.39, 4 Ag 2.57
Cd  0.0000  0.0000  0.5000  8 Ag 3.18
Ag  0.0000  0.5000  0.2380  2 Zn 2.57
Ag  0.0000  0.5000  0.7620  2 Zn 2.57
Ag  0.5000  0.0000  0.2380  2 Zn 2.57
Ag  0.5000  0.0000  0.7620  2 Zn 2.57
Ag  0.5000  0.5000  0.0000  2 Zn 2.72

Raw total energy   -22.30 eV for the cell shown
E_form   0.050 eV/f.u.
V   184.4 Å³/cell
Crystal system   tetragonal
Symmetry   P4/mmm, No. 123



No. 3
This record from the Alexandria database describes crystalline Tb3Tl4Ag2 at its relaxed geometry. The functional is GGA-PBE.

a = 6.1108 Å, b = 6.1108 Å, c = 9.3476 Å
α = 115.58°, β = 115.58°, γ = 47.97°
Last column: nearest neighbours and their distance in Å.
Fractional positions:
Tb  0.0000  0.0000  0.0000  8 Tl 3.33-3.45, 4 Ag 3.36, 2 Tb 3.58
Tb  0.3332  0.3332  0.3420  7 Tl 3.27-3.41, 4 Ag 3.31-3.41, 2 Tb 3.49-3.58
Tb  0.6668  0.6668  0.6580  7 Tl 3.27-3.41, 4 Ag 3.31-3.41, 2 Tb 3.49-3.58
Tl  0.0569  0.0569  0.3831  2 Ag 2.82, 1 Tl 3.00
Tl  0.2610  0.2610  0.9163  1 Ag 2.83, 2 Tl 3.01
Tl  0.7390  0.7390  0.0837  1 Ag 2.83, 2 Tl 3.01
Tl  0.9431  0.9431  0.6169  2 Ag 2.82, 1 Tl 3.00
Ag  0.3968  0.3968  0.7256  3 Tl 2.82-2.83
Ag  0.6032  0.6032  0.2744  3 Tl 2.82-2.83

Raw total energy   -31.36 eV for the cell shown
E_form   -2.298 eV/f.u.
V   228.5 Å³/cell
Crystal system   monoclinic
Symmetry   C2/m, No. 12